First-principles (PBE) data for an optimized crystal structure of CrTc2Ag, as listed in Alexandria via LeMat-Bulk.

Output
ΔE to the lowest computed polymorph, eV per atom: 0.226

```
data_CrTc2Ag
_chemical_formula_sum 'Cr4 Tc8 Ag4'
_symmetry_space_group_name_H-M 'F -4 3 m'
_symmetry_Int_Tables_number 216
_symmetry_space_group_name_Hall 'F -4 2 3'
_cell_length_a 6.237
_cell_length_b 6.237
_cell_length_c 6.237
_cell_angle_alpha 90.00
_cell_angle_beta 90.00
_cell_angle_gamma 90.00
loop_
_atom_site_label
_atom_site_fract_x
_atom_site_fract_y
_atom_site_fract_z
_atom_site_occupancy
Cr1 0.000 0.000 0.000 1
Tc1 0.000 0.000 0.500 1
Tc2 0.250 0.250 0.750 1
Ag1 0.250 0.250 0.250 1
```